Record 1
Material: La3Sm
Method: DFT, PBEsol
State: relaxed

a = 5.1111 Å, b = 5.1111 Å, c = 6.2441 Å
α = 114.16°, β = 114.16°, γ = 90.00°
Last column: nearest neighbours and their distance in Å.
Element x y z (fractional)
La1 0.7500 0.2500 0.5000  4 Sm 3.61, 8 La 3.61
La2 0.2500 0.7500 0.5000  8 La 3.61, 4 Sm 3.61
La3 0.5000 0.5000 0.0000  8 La 3.61, 4 Sm 3.61
Sm1 0.0000 0.0000 0.0000  12 La 3.61

Calculated values
N(E_F): 1.715 states/eV per atom
volume: 33.25 Å³ per atom
ΔH_f (0 K): 13 meV per atom

Record 2
Material: Li6UO6
Method: DFT, PBEsol
State: relaxed

a = 5.4088 Å, b = 5.4088 Å, c = 5.4088 Å
α = 101.04°, β = 101.04°, γ = 101.04°
Last column: nearest neighbours and their distance in Å.
Element x y z (fractional)
Li1 0.3543 0.0000 0.6457  4 O 1.94-1.98
Li2 0.0000 0.6457 0.3543  4 O 1.94-1.98
Li3 0.0000 0.3543 0.6457  4 O 1.94-1.98
Li4 0.6457 0.3543 0.0000  4 O 1.94-1.98
Li5 0.6457 0.0000 0.3543  4 O 1.94-1.98
Li6 0.3543 0.6457 0.0000  4 O 1.94-1.98
O1 0.1016 0.7305 0.7305  4 Li 1.94-1.98, 1 U 2.09
O2 0.8984 0.2695 0.2695  4 Li 1.94-1.98, 1 U 2.09
O3 0.7305 0.7305 0.1016  4 Li 1.94-1.98, 1 U 2.09
O4 0.7305 0.1016 0.7305  4 Li 1.94-1.98, 1 U 2.09
O5 0.2695 0.8984 0.2695  4 Li 1.94-1.98, 1 U 2.09
O6 0.2695 0.2695 0.8984  4 Li 1.94-1.98, 1 U 2.09
U1 0.0000 0.0000 0.0000  6 O 2.09

Calculated values
N(E_F): 0.000 states/eV per atom
volume: 11.39 Å³ per atom
energy relative to the elements, uncorrected: -2.4153 eV per atom

Result set for magnetic moment: 0.0; 0.0 Bohr magnetons per cell, one per record in the order listed.